[1]
VASP calculation (SCAN) on a PBEsol-optimized structure of K2MgRe.

Calculated values
DOS at the Fermi energy, states/eV/cell: 3.35
ΔE to the lowest computed polymorph, meV/atom: 173
DFT formation energy, meV per atom: 1125

Cell lengths 2.7561, 6.4002, 7.6129 Å; angles 114.86, 100.43, 90.00 degrees
Closest atoms and distances in Å follow each position.
Fractional positions:
K (0.0420, 0.0420, 0.0840)  2 K 2.76
K (0.2366, 0.7366, 0.4733)  2 K 2.76
Mg (0.4463, 0.4463, 0.8926)  2 Re 2.70, 2 Mg 2.76
Re (0.7751, 0.2751, 0.5502)  2 Mg 2.70, 2 Re 2.76

=====

[2]
VASP calculation (SCAN) on a PBEsol-optimized structure of KMg2Re.

Calculated values
DOS at the Fermi energy, states/eV/cell: 2.86
ΔE to the lowest computed polymorph, meV/atom: 0
DFT formation energy, meV per atom: 574

Cell lengths 2.8303, 2.8303, 10.8902 Å; angles 90.00, 90.00, 106.72 degrees
Closest atoms and distances in Å follow each position.
Fractional positions:
K (0.5000, 0.5000, 0.0000)  4 K 2.83
Mg (0.0000, 0.0000, 0.2991)  2 Re 2.76, 4 Mg 2.83
Mg (0.0000, 0.0000, 0.7009)  2 Re 2.76, 4 Mg 2.83
Re (0.5000, 0.5000, 0.5000)  4 Mg 2.76, 4 Re 2.83

=====

[3]
VASP calculation (SCAN) on a PBEsol-optimized structure of K3MgRe.

Calculated values
DOS at the Fermi energy, states/eV/cell: 5.35
DFT formation energy, meV per atom: 1738

Cell lengths 6.5596, 6.5596, 6.5596 Å; angles 90.00, 90.00, 90.00 degrees
Closest atoms and distances in Å follow each position.
Fractional positions:
Re (0.5000, 0.5000, 0.5000)  12 K 4.64
K (0.0000, 0.5000, 0.0000)  2 Mg 3.28
K (0.0000, 0.0000, 0.5000)  2 Mg 3.28
K (0.5000, 0.0000, 0.0000)  2 Mg 3.28
Mg (0.0000, 0.0000, 0.0000)  6 K 3.28

=====

[4]
VASP calculation (SCAN) on a PBEsol-optimized structure of K2MgRe.

Calculated values
DOS at the Fermi energy, states/eV/cell: 3.20
ΔE to the lowest computed polymorph, meV/atom: 310
DFT formation energy, meV per atom: 1262

Cell lengths 2.8470, 5.3207, 6.0755 Å; angles 90.00, 90.00, 90.00 degrees
Closest atoms and distances in Å follow each position.
Fractional positions:
K (0.0000, 0.0000, 0.0000)  6 K 2.85-3.02
K (0.5000, 0.5000, 0.0000)  6 K 2.85-3.02
Mg (0.5000, 0.0000, 0.5000)  2 Mg 2.85, 4 Re 3.02
Re (0.0000, 0.5000, 0.5000)  2 Re 2.85, 4 Mg 3.02

=====

[5]
VASP calculation (SCAN) on a PBEsol-optimized structure of KMgRe2.

Calculated values
DOS at the Fermi energy, states/eV/cell: 4.18
ΔE to the lowest computed polymorph, meV/atom: 622
DFT formation energy, meV per atom: 1322

Cell lengths 4.6069, 4.6069, 4.6069 Å; angles 60.00, 60.00, 60.00 degrees
Closest atoms and distances in Å follow each position.
Fractional positions:
K (0.5000, 0.5000, 0.5000)  4 Re 2.82, 4 Mg 2.82
Mg (0.2500, 0.2500, 0.2500)  4 Re 2.82, 4 K 2.82
Re (0.0000, 0.0000, 0.0000)  4 Mg 2.82, 4 Re 2.82
Re (0.7500, 0.7500, 0.7500)  4 K 2.82, 4 Re 2.82

=====

[6]
VASP calculation (SCAN) on a PBEsol-optimized structure of KMgRe2.

Calculated values
DOS at the Fermi energy, states/eV/cell: 2.64
ΔE to the lowest computed polymorph, meV/atom: 0
DFT formation energy, meV per atom: 700

Cell lengths 2.7705, 2.7705, 10.6972 Å; angles 90.00, 90.00, 113.76 degrees
Closest atoms and distances in Å follow each position.
Fractional positions:
K (0.0000, 0.0000, 0.5190)  6 K 2.77-3.03
Mg (0.5000, 0.5000, 0.2066)  6 Mg 2.77-3.03, 2 Re 2.82
Re (0.0000, 0.0000, 0.9847)  6 Re 2.58-2.77, 2 Mg 2.82
Re (0.5000, 0.5000, 0.7896)  6 Re 2.58-2.77

=====

[7]
VASP calculation (SCAN) on a PBEsol-optimized structure of K2MgRe.

Calculated values
DOS at the Fermi energy, states/eV/cell: 4.23
ΔE to the lowest computed polymorph, meV/atom: 0
DFT formation energy, meV per atom: 952

Cell lengths 2.7580, 4.8437, 10.4573 Å; angles 103.39, 97.58, 90.00 degrees
Closest atoms and distances in Å follow each position.
Fractional positions:
K (0.8514, 0.8514, 0.7027)  2 K 2.76
K (0.1486, 0.1486, 0.2973)  2 K 2.76
Mg (0.0000, 0.5000, 0.0000)  2 Mg 2.76, 4 Re 2.79
Re (0.5000, 0.0000, 0.0000)  2 Re 2.76, 4 Mg 2.79

=====

[8]
VASP calculation (SCAN) on a PBEsol-optimized structure of KMgRe2Se.

Calculated values
DOS at the Fermi energy, states/eV/cell: 2.98
Formation energy from raw total energies, eV/atom: 1.98

Cell lengths 4.9456, 4.9456, 5.2243 Å; angles 90.00, 90.00, 90.00 degrees
Closest atoms and distances in Å follow each position.
Fractional positions:
Re (0.0000, 0.5000, 0.0000)  2 Mg 2.47
Re (0.5000, 0.0000, 0.0000)  2 Mg 2.47
K (0.5000, 0.5000, 0.5000)  4 Se 3.50, 8 Re 3.60
Mg (0.0000, 0.0000, 0.0000)  4 Re 2.47, 2 Se 2.61
Se (0.0000, 0.0000, 0.5000)  2 Mg 2.61

=====

[9]
VASP calculation (SCAN) on a PBEsol-optimized structure of KMgRh2.

Calculated values
DOS at the Fermi energy, states/eV/cell: 4.33
DFT formation energy, meV per atom: 596

Cell lengths 4.0978, 4.0978, 5.0984 Å; angles 113.70, 113.70, 90.00 degrees
Closest atoms and distances in Å follow each position.
Fractional positions:
K (0.5000, 0.5000, 0.0000)  4 Mg 2.90, 8 Rh 2.93
Mg (0.0000, 0.0000, 0.0000)  4 K 2.90, 8 Rh 2.93
Rh (0.7500, 0.2500, 0.5000)  4 Rh 2.90, 4 K 2.93, 4 Mg 2.93
Rh (0.2500, 0.7500, 0.5000)  4 Rh 2.90, 4 K 2.93, 4 Mg 2.93

=====

[10]
VASP calculation (SCAN) on a PBEsol-optimized structure of K2MgRh.

Calculated values
DOS at the Fermi energy, states/eV/cell: 1.73
DFT formation energy, meV per atom: 202

Cell lengths 4.4626, 4.4341, 9.2075 Å; angles 104.22, 90.00, 120.21 degrees
Closest atoms and distances in Å follow each position.
Fractional positions:
K (0.9639, 0.9279, 0.8851)  3 Rh 3.43-3.45, 3 Mg 3.43-3.45
K (0.7872, 0.5743, 0.3650)  3 Rh 3.42-3.45, 3 Mg 3.44
Mg (0.5417, 0.0835, 0.6251)  3 Rh 2.56-2.57
Rh (0.2072, 0.4143, 0.6249)  3 Mg 2.56-2.57

=====

[11]
VASP calculation (SCAN) on a PBEsol-optimized structure of KMgRh2.

Calculated values
DOS at the Fermi energy, states/eV/cell: 3.08
DFT formation energy, meV per atom: 593

Cell lengths 4.0502, 4.0502, 4.3038 Å; angles 90.00, 90.00, 90.00 degrees
Closest atoms and distances in Å follow each position.
Fractional positions:
K (0.5000, 0.5000, 0.5000)  4 Mg 2.86, 8 Rh 2.95
Mg (0.0000, 0.0000, 0.5000)  4 K 2.86, 8 Rh 2.95
Rh (0.0000, 0.5000, 0.0000)  4 Rh 2.86, 4 K 2.95, 4 Mg 2.95
Rh (0.5000, 0.0000, 0.0000)  4 Rh 2.86, 4 K 2.95, 4 Mg 2.95

=====

[12]
VASP calculation (SCAN) on a PBEsol-optimized structure of K4MgRh.

Calculated values
DOS at the Fermi energy, states/eV/cell: 4.05
DFT formation energy, meV per atom: 841

Cell lengths 6.6927, 6.6927, 6.6927 Å; angles 60.00, 60.00, 60.00 degrees
Closest atoms and distances in Å follow each position.
Fractional positions:
K (0.3734, 0.3734, 0.3734)  6 K 3.30-3.39
K (0.3734, 0.3734, 0.8797)  6 K 3.30-3.39
K (0.8797, 0.3734, 0.3734)  6 K 3.30-3.39
K (0.3734, 0.8797, 0.3734)  6 K 3.30-3.39
Mg (0.7500, 0.7500, 0.7500)  12 K 3.93, 4 Rh 4.10
Rh (0.0000, 0.0000, 0.0000)  12 K 3.92, 4 Mg 4.10

=====

[13]
VASP calculation (SCAN) on a PBEsol-optimized structure of K2MgRu.

Calculated values
DOS at the Fermi energy, states/eV/cell: 2.52
DFT formation energy, meV per atom: 995

Cell lengths 2.9191, 5.6659, 5.9616 Å; angles 90.00, 90.00, 90.00 degrees
Closest atoms and distances in Å follow each position.
Fractional positions:
K (0.0000, 0.0000, 0.7367)  4 K 2.82-3.14
K (0.0000, 0.0000, 0.2633)  4 K 2.82-3.14
Mg (0.5000, 0.5000, 0.0000)  2 Mg 2.92, 2 Ru 2.98
Ru (0.5000, 0.5000, 0.5000)  2 Ru 2.92, 2 Mg 2.98

=====

[14]
VASP calculation (SCAN) on a PBEsol-optimized structure of KMg2Ru.

Calculated values
DOS at the Fermi energy, states/eV/cell: 1.04
DFT formation energy, meV per atom: 616

Cell lengths 3.0862, 5.1095, 5.1095 Å; angles 89.58, 90.00, 90.00 degrees
Closest atoms and distances in Å follow each position.
Fractional positions:
K (0.5000, 0.5000, 0.5000)  8 Mg 2.98, 2 K 3.09
Mg (0.0000, 0.5000, 0.0000)  4 K 2.98, 4 Ru 2.98, 2 Mg 3.09
Mg (0.0000, 0.0000, 0.5000)  4 Ru 2.98, 4 K 2.98, 2 Mg 3.09
Ru (0.5000, 0.0000, 0.0000)  8 Mg 2.98, 2 Ru 3.09

=====

[15]
VASP calculation (SCAN) on a PBEsol-optimized structure of KMgZrRu2.

Calculated values
DOS at the Fermi energy, states/eV/cell: 4.95
DFT formation energy, meV per atom: 1456

Cell lengths 4.5100, 4.7148, 4.7148 Å; angles 90.00, 90.00, 90.00 degrees
Closest atoms and distances in Å follow each position.
Fractional positions:
Ru (0.0000, 0.0000, 0.5000)  2 Mg 2.36
Ru (0.0000, 0.5000, 0.0000)  2 Mg 2.36
K (0.5000, 0.0000, 0.0000)  2 Mg 2.25
Mg (0.0000, 0.0000, 0.0000)  2 K 2.25, 4 Ru 2.36
Zr (0.5000, 0.5000, 0.5000)  8 Ru 3.26, 4 K 3.33